# 1
DFT (PBE) results for a geometry-optimized NdTi4N6 structure.

Geometry as POSCAR:
```
NdTi4N6
1.0
1.535 -5.026 0.000
1.535 5.026 0.000
0.000 0.000 15.620
Nd Ti N
2 8 12
Cartesian
1.535 3.486 11.715
1.535 -3.486 3.905
1.535 3.966 2.049
1.535 3.966 5.761
1.535 1.304 0.744
1.535 1.304 7.066
1.535 -1.304 8.554
1.535 -1.304 14.875
1.535 -3.966 9.859
1.535 -3.966 13.571
0.000 0.000 0.000
0.000 0.000 7.810
1.535 3.428 3.905
1.535 2.340 9.121
1.535 2.340 14.308
1.535 0.328 2.376
1.535 0.328 5.434
1.535 -0.328 10.186
1.535 -0.328 13.244
1.535 -2.340 1.311
1.535 -2.340 6.499
1.535 -3.428 11.715
```

Properties
N(E_F): 4.1 states/eV per cell
Formation energy (no corrections): -16.56 eV per formula unit
SG: Cmcm
Final energy: -205.73 eV per cell

---

# 2
DFT (PBE) results for a geometry-optimized Nd2TiN structure.

Geometry as POSCAR:
```
Nd2TiN
1.0
1.737 1.003 9.128
-1.737 1.003 9.128
0.000 -2.006 9.128
Nd Ti N
2 1 1
Cartesian
0.000 0.000 3.124
0.000 0.000 24.260
0.000 0.000 0.000
0.000 0.000 13.692
```

Properties
N(E_F): 5.6 states/eV per cell
Formation energy (no corrections): -0.87 eV per formula unit
SG: R-3m
Final energy: -26.62 eV per cell